DFT (PBE) results for an optimized crystal structure of Dy5H. Values from VASP.

Cell and atoms, written as Quantum ESPRESSO input:
```
&SYSTEM
  ibrav = 0, nat = 6, ntyp = 2
/
ATOMIC_SPECIES
Dy 162.50 Dy.upf
H 1.01 H.upf
CELL_PARAMETERS angstrom
6.4261 0.0000 0.0000
-3.2131 5.5652 0.0000
0.0000 0.0000 5.9205
ATOMIC_POSITIONS crystal
Dy 0.0000 0.5000 0.0000
Dy 0.3333 0.6667 0.5000
Dy 0.5000 0.0000 0.0000
Dy 0.5000 0.5000 0.0000
Dy 0.6667 0.3333 0.5000
H 0.0000 0.0000 0.5000
```

Calculated values
total DFT energy (no corrections) = -20.28 eV per cell
mass density = 6.4 g cm⁻³